Entry from the Alexandria database: Nd2CdAu6 after structural relaxation (PBE).

Structure (POSCAR):
```
Nd2CdAu6
1.0
-2.319 3.671 -3.524
-5.093 0.574 3.937
-0.011 4.478 4.660
Nd Cd Au
2 1 6
Direct
0.830 0.667 0.667 Nd
0.170 0.333 0.333 Nd
0.000 0.000 0.000 Cd
0.323 0.372 0.814 Au
0.322 0.813 0.813 Au
0.323 0.814 0.372 Au
0.677 0.628 0.186 Au
0.678 0.187 0.187 Au
0.677 0.186 0.628 Au
```

Its calculated density is 13.01 g/cm3. Its energy relative to the elements is -0.55 eV per atom.

---

Entry from the Alexandria database: Nd4CdAu after structural relaxation (PBE).

Structure (POSCAR):
```
Nd4CdAu
1.0
-7.026 3.452 -6.426
-9.293 -4.026 0.017
-7.842 5.379 3.483
Nd Cd Au
16 4 4
Direct
0.395 0.395 0.395 Nd
0.816 0.395 0.395 Nd
0.395 0.816 0.395 Nd
0.395 0.395 0.816 Nd
0.555 0.555 0.945 Nd
0.945 0.945 0.555 Nd
0.555 0.945 0.555 Nd
0.945 0.555 0.945 Nd
0.945 0.555 0.555 Nd
0.555 0.945 0.945 Nd
0.183 0.183 0.817 Nd
0.817 0.817 0.183 Nd
0.183 0.817 0.183 Nd
0.817 0.183 0.817 Nd
0.817 0.183 0.183 Nd
0.183 0.817 0.817 Nd
0.169 0.169 0.169 Cd
0.492 0.169 0.169 Cd
0.169 0.492 0.169 Cd
0.169 0.169 0.492 Cd
0.606 0.606 0.606 Au
0.183 0.606 0.606 Au
0.606 0.183 0.606 Au
0.606 0.606 0.183 Au
```

Its calculated density is 8.02 g/cm3. Its energy relative to the elements is -0.37 eV per atom.

---

Entry from the Alexandria database: Nd2CdAu3 after structural relaxation (PBE).

Structure (POSCAR):
```
Nd2CdAu3
1.0
-5.494 1.394 1.974
-0.132 -5.689 -1.907
4.898 -0.466 7.617
Nd Cd Au
4 2 6
Direct
0.250 0.750 0.500 Nd
0.755 0.755 0.000 Nd
0.750 0.250 0.500 Nd
0.245 0.245 0.000 Nd
0.667 0.667 0.334 Cd
0.333 0.333 0.666 Cd
0.336 0.831 0.168 Au
0.169 0.664 0.832 Au
0.664 0.169 0.832 Au
0.831 0.336 0.168 Au
0.167 0.167 0.334 Au
0.833 0.833 0.666 Au
```

Its calculated density is 11.50 g/cm3. Its energy relative to the elements is -0.66 eV per atom.